The following is a DFT calculation (PBE) of a relaxed RbNaAl2 crystal.

Calculated values
- SG: I-42d
- Energy relative to the lowest polymorph listed for this composition: 0 meV/atom
- ΔH_f (0 K): 0.41 eV per atom

Lattice parameters (Å, degrees): 5.031 5.031 11.942 77.84 77.84 90.00
Positions (direct):
Na: 0.500 0.500 0.000
Na: 0.250 0.750 0.500
Al: 0.453 0.125 0.250
Al: 0.297 0.625 0.250
Al: 0.375 0.547 0.750
Al: 0.875 0.703 0.750
Rb: 0.000 0.000 0.000
Rb: 0.750 0.250 0.500

=====

The following is a DFT calculation (PBE) of a relaxed KSbI3 crystal.

Calculated values
- Raw formation energy: -0.6373 eV/atom
- SG: Pm-3m
- Energy relative to the lowest polymorph listed for this composition: 72 meV/atom

Lattice parameters (Å, degrees): 6.166 6.166 6.166 90.00 90.00 90.00
Positions (direct):
I: 0.000 0.500 0.000
I: 0.000 0.000 0.500
I: 0.500 0.000 0.000
Sb: 0.000 0.000 0.000
K: 0.500 0.500 0.500

=====

The following is a DFT calculation (PBE) of a relaxed Ce3HfPa3As8 crystal.

Calculated values
- SG: R-3m
- ΔH_f (0 K): -1.09 eV per atom

Lattice parameters (Å, degrees): 8.177 8.178 8.286 119.57 90.00 120.00
Positions (direct):
Ce: 0.000 0.000 0.000
Ce: 0.000 0.500 0.000
Ce: 0.500 0.500 0.000
Hf: 0.000 0.000 0.500
Pa: 0.500 0.000 0.500
Pa: 0.500 0.500 0.500
Pa: 0.000 0.500 0.500
As: 0.252 0.505 0.257
As: 0.748 0.495 0.743
As: 0.760 0.520 0.267
As: 0.240 0.480 0.733
As: 0.760 0.007 0.267
As: 0.240 0.993 0.733
As: 0.248 0.007 0.267
As: 0.752 0.993 0.733

=====

The following is a DFT calculation (PBE) of a relaxed Ca2InSn4 crystal.

Calculated values
- SG: I4/mmm
- Energy relative to the lowest polymorph listed for this composition: 420 meV/atom
- ΔH_f (0 K): 0.11 eV per atom

Lattice parameters (Å, degrees): 5.669 5.669 8.744 71.08 71.08 90.00
Positions (direct):
Ca: 0.381 0.381 0.238
Ca: 0.619 0.619 0.762
Sn: 0.179 0.179 0.643
Sn: 0.821 0.821 0.357
Sn: 0.000 0.500 0.000
Sn: 0.500 0.000 0.000
In: 0.000 0.000 0.000

=====

The following is a DFT calculation (PBE) of a relaxed Ac5Nd6Sm crystal.

Calculated values
- SG: Immm
- ΔH_f (0 K): 0.03 eV per atom

Lattice parameters (Å, degrees): 5.430 10.075 10.075 107.57 105.64 105.64
Positions (direct):
Ac: 0.500 0.163 0.837
Ac: 0.000 0.333 0.667
Ac: 0.500 0.500 0.500
Ac: 0.000 0.667 0.333
Ac: 0.500 0.837 0.163
Nd: 0.248 0.083 0.413
Nd: 0.752 0.587 0.917
Nd: 0.747 0.247 0.247
Nd: 0.253 0.753 0.753
Nd: 0.248 0.413 0.083
Nd: 0.752 0.917 0.587
Sm: 0.000 0.000 0.000

=====

The following is a DFT calculation (PBE) of a relaxed Pm6Sm2ErTh crystal.

Calculated values
- SG: C2/c
- ΔH_f (0 K): 0.15 eV per atom

Lattice parameters (Å, degrees): 9.876 8.839 8.839 116.91 94.69 94.69
Positions (direct):
Pm: 0.056 0.113 0.750
Pm: 0.444 0.250 0.887
Pm: 0.944 0.887 0.250
Pm: 0.556 0.750 0.113
Pm: 0.312 0.987 0.423
Pm: 0.188 0.577 0.013
Pm: 0.688 0.013 0.577
Pm: 0.812 0.423 0.987
Pm: 0.120 0.702 0.493
Pm: 0.380 0.507 0.298
Pm: 0.880 0.298 0.507
Pm: 0.620 0.493 0.702
Sm: 0.453 0.803 0.710
Sm: 0.047 0.290 0.197
Sm: 0.547 0.197 0.290
Sm: 0.953 0.710 0.803
Er: 0.250 0.407 0.593
Er: 0.750 0.593 0.407
Th: 0.250 0.978 0.022
Th: 0.750 0.022 0.978

=====

Sequential density of states at the Fermi level output: 4.96 1.63 24.36 5.97 21.74 28.61 states/eV per cell